First-principles (GGA-PBEsol) data for crystalline Ba3ScB9O18 at its relaxed geometry, as listed in Alexandria via LeMat-Bulk.

Structure (POSCAR):
```
Ba3ScB9O18
1.0
7.159 0.000 0.000
-3.579 6.200 0.000
0.000 0.000 16.259
Ba Sc B O
6 2 18 36
Direct
0.000 0.000 0.250 Ba
0.000 0.000 0.750 Ba
0.333 0.667 0.126 Ba
0.333 0.667 0.374 Ba
0.667 0.333 0.626 Ba
0.667 0.333 0.874 Ba
0.000 0.000 0.000 Sc
0.000 0.000 0.500 Sc
0.114 0.494 0.750 B
0.168 0.724 0.580 B
0.168 0.724 0.920 B
0.276 0.444 0.580 B
0.276 0.444 0.920 B
0.380 0.886 0.750 B
0.444 0.168 0.080 B
0.444 0.168 0.420 B
0.494 0.380 0.250 B
0.506 0.620 0.750 B
0.556 0.832 0.580 B
0.556 0.832 0.920 B
0.620 0.114 0.250 B
0.724 0.556 0.080 B
0.724 0.556 0.420 B
0.832 0.276 0.080 B
0.832 0.276 0.420 B
0.886 0.506 0.250 B
0.009 0.770 0.579 O
0.009 0.770 0.921 O
0.087 0.670 0.250 O
0.119 0.507 0.579 O
0.119 0.507 0.921 O
0.166 0.711 0.750 O
0.230 0.239 0.579 O
0.230 0.239 0.921 O
0.239 0.009 0.079 O
0.239 0.009 0.421 O
0.289 0.455 0.750 O
0.330 0.417 0.250 O
0.388 0.881 0.579 O
0.388 0.881 0.921 O
0.417 0.087 0.750 O
0.455 0.166 0.250 O
0.493 0.612 0.579 O
0.493 0.612 0.921 O
0.507 0.388 0.079 O
0.507 0.388 0.421 O
0.545 0.834 0.750 O
0.583 0.913 0.250 O
0.612 0.119 0.079 O
0.612 0.119 0.421 O
0.670 0.583 0.750 O
0.711 0.545 0.250 O
0.761 0.991 0.579 O
0.761 0.991 0.921 O
0.770 0.761 0.079 O
0.770 0.761 0.421 O
0.834 0.289 0.250 O
0.881 0.493 0.079 O
0.881 0.493 0.421 O
0.913 0.330 0.750 O
0.991 0.230 0.079 O
0.991 0.230 0.421 O
```

Results
For the formation energy (no corrections), the calculation gives -84.33 eV/f.u.

---

First-principles (GGA-PBEsol) data for crystalline CrSb2W at its relaxed geometry, as listed in Alexandria via LeMat-Bulk.

Structure (POSCAR):
```
CrSb2W
1.0
4.313 0.000 0.000
0.000 1.764 4.884
0.000 -1.764 4.884
Cr Sb W
1 2 1
Direct
0.000 0.000 0.000 Cr
0.000 0.283 0.283 Sb
0.500 0.576 0.576 Sb
0.500 0.862 0.862 W
```

Results
For the formation energy (no corrections), the calculation gives 1.40 eV/f.u.

---

First-principles (GGA-PBEsol) data for crystalline TeOs2S at its relaxed geometry, as listed in Alexandria via LeMat-Bulk.

Structure (POSCAR):
```
TeOs2S
1.0
0.000 3.145 3.145
3.145 0.000 3.145
3.145 3.145 0.000
Te Os S
1 2 1
Direct
0.000 0.000 0.000 Te
0.250 0.250 0.250 Os
0.750 0.750 0.750 Os
0.500 0.500 0.500 S
```

Results
For the formation energy (no corrections), the calculation gives 3.35 eV/f.u.

---

First-principles (GGA-PBEsol) data for crystalline ScBeZn at its relaxed geometry, as listed in Alexandria via LeMat-Bulk.

Structure (POSCAR):
```
ScBeZn
1.0
-1.400 2.062 3.897
1.400 -2.062 3.897
1.400 2.062 -3.897
Sc Be Zn
1 1 1
Direct
0.000 0.000 0.000 Sc
0.341 0.341 0.000 Be
0.663 0.663 0.000 Zn
```

Results
The value obtained for the formation energy is 0.10 eV/atom.

---

First-principles (GGA-PBEsol) data for crystalline Li6CuS4 at its relaxed geometry, as listed in Alexandria via LeMat-Bulk.

Structure (POSCAR):
```
Li6CuS4
1.0
-1.741 6.481 3.573
1.741 -6.481 3.573
1.741 6.481 -3.573
Li Cu S
6 1 4
Direct
0.103 0.789 0.315 Li
0.115 0.000 0.115 Li
0.474 0.789 0.685 Li
0.527 0.170 0.357 Li
0.814 0.170 0.643 Li
0.885 0.000 0.885 Li
0.428 0.428 0.000 Cu
0.222 0.475 0.747 S
0.236 0.736 0.500 S
0.728 0.475 0.253 S
0.733 0.733 0.000 S
```

Results
For the formation energy (no corrections), the calculation gives -11.70 eV/f.u.

---

First-principles (GGA-PBEsol) data for crystalline CuPt at its relaxed geometry, as listed in Alexandria via LeMat-Bulk.

Structure (POSCAR):
```
CuPt
1.0
4.615 0.000 0.000
0.763 4.575 0.000
0.045 1.635 5.045
Cu Pt
4 4
Direct
0.122 0.250 0.438 Cu
0.374 0.745 0.315 Cu
0.626 0.255 0.685 Cu
0.878 0.750 0.562 Cu
0.123 0.252 0.930 Pt
0.379 0.757 0.795 Pt
0.621 0.243 0.205 Pt
0.877 0.748 0.070 Pt
```

Results
The value obtained for the formation energy is -0.10 eV/atom.

---

First-principles (GGA-PBEsol) data for crystalline LiAgAu2F at its relaxed geometry, as listed in Alexandria via LeMat-Bulk.

Structure (POSCAR):
```
LiAgAu2F
1.0
5.150 0.000 0.000
0.000 5.150 0.000
0.000 0.000 4.138
Li Ag Au F
1 1 2 1
Direct
0.000 0.000 0.000 Li
0.500 0.500 0.500 Ag
0.000 0.500 0.500 Au
0.500 0.000 0.500 Au
0.500 0.500 0.000 F
```

Results
For the formation energy (no corrections), the calculation gives -0.12 eV/f.u.

---

First-principles (GGA-PBEsol) data for crystalline MgCu2Se2 at its relaxed geometry, as listed in Alexandria via LeMat-Bulk.

Structure (POSCAR):
```
MgCu2Se2
1.0
-2.504 6.328 3.494
2.504 -6.328 3.494
2.504 6.328 -3.494
Mg Cu Se
2 4 4
Direct
0.250 0.250 0.000 Mg
0.750 0.750 0.000 Mg
0.238 0.019 0.256 Cu
0.262 0.519 0.781 Cu
0.738 0.481 0.219 Cu
0.762 0.981 0.744 Cu
0.102 0.723 0.825 Se
0.398 0.223 0.621 Se
0.602 0.777 0.379 Se
0.898 0.277 0.175 Se
```

Results
For the formation energy (no corrections), the calculation gives -1.78 eV/f.u.